1.
Zr2GaN | GGA-PBE | optimized geometry

Values from the calculation:
D(E_F)   1.14 states/eV/f.u.
Total energy   -7.82 eV/atom

Cell lengths 6.478, 6.478, 5.705 Å; angles 55.41, 55.41, 90.00 degrees
Fractional positions:
Zr (0.875, 0.797, 0.750)
Zr (0.547, 0.125, 0.250)
Zr (0.375, 0.453, 0.750)
Zr (0.203, 0.625, 0.250)
Ga (0.000, 0.000, 0.000)
Ga (0.750, 0.250, 0.500)
N (0.500, 0.500, 0.000)
N (0.250, 0.750, 0.500)

=====

2.
Ta2Fe2Tc | GGA-PBE | optimized geometry

Values from the calculation:
D(E_F)   4.81 states/eV/f.u.
Polymorph energy (0 for the lowest one)   0.199 eV per atom
Formation energy from the elements   209 meV per atom

Cell lengths 3.166, 3.166, 7.963 Å; angles 78.53, 78.53, 90.00 degrees
Each line ends with the local moment (μB).
Fractional positions:
Ta (0.395, 0.395, 0.211)  -0.18
Ta (0.605, 0.605, 0.789)  -0.18
Fe (0.750, 0.250, 0.500)  1.35
Fe (0.250, 0.750, 0.500)  1.35
Tc (0.000, 0.000, 0.000)  -0.01

=====

3.
Na13Tl2 | GGA-PBE | optimized geometry

Values from the calculation:
D(E_F)   8.31 states/eV/f.u.
Polymorph energy (0 for the lowest one)   0.050 eV per atom
Formation energy from the elements   17 meV per atom

Cell lengths 9.432, 9.433, 8.947 Å; angles 58.00, 58.01, 59.89 degrees
Fractional positions:
Na (0.371, 0.982, 0.274)
Na (0.803, 0.803, 0.199)
Na (0.018, 0.629, 0.726)
Na (0.197, 0.197, 0.801)
Na (0.193, 0.804, 0.199)
Na (0.629, 0.629, 0.725)
Na (0.807, 0.196, 0.801)
Na (0.371, 0.371, 0.275)
Na (0.804, 0.192, 0.199)
Na (0.982, 0.371, 0.274)
Na (0.500, 0.500, 0.500)
Na (0.196, 0.808, 0.801)
Na (0.629, 0.018, 0.726)
Tl (0.643, 0.642, 0.072)
Tl (0.357, 0.358, 0.928)

=====

4.
Li2HoPb3 | GGA-PBE | optimized geometry

Values from the calculation:
D(E_F)   2.39 states/eV/f.u.
Formation energy from the elements   -319 meV per atom

Cell lengths 3.621, 3.621, 11.235 Å; angles 90.00, 90.00, 90.00 degrees
Fractional positions:
Ho (0.500, 0.500, 0.500)
Li (0.500, 0.500, 0.845)
Li (0.500, 0.500, 0.155)
Pb (0.000, 0.000, 0.690)
Pb (0.000, 0.000, 0.310)
Pb (0.000, 0.000, 0.000)

=====

5.
VZnPd14 | GGA-PBE | optimized geometry

Values from the calculation:
D(E_F)   25.02 states/eV/f.u.
Formation energy from the elements   -151 meV per atom

Cell lengths 5.590, 5.590, 7.732 Å; angles 90.00, 90.00, 90.00 degrees
Each line ends with the local moment (μB).
Fractional positions:
Pd (0.375, 0.875, 0.500)  -0.05
Pd (0.875, 0.375, 0.500)  -0.05
Pd (0.628, 0.122, 0.742)  -0.04
Pd (0.875, 0.375, 0.000)  -0.07
Pd (0.628, 0.122, 0.258)  -0.04
Pd (0.122, 0.628, 0.742)  -0.04
Pd (0.627, 0.627, 0.258)  -0.04
Pd (0.375, 0.375, 0.000)  -0.06
Pd (0.123, 0.123, 0.742)  -0.04
Pd (0.875, 0.875, 0.000)  0.02
Pd (0.627, 0.627, 0.742)  -0.04
Pd (0.375, 0.875, 0.000)  -0.07
Pd (0.123, 0.123, 0.258)  -0.04
Pd (0.122, 0.628, 0.258)  -0.04
Zn (0.375, 0.375, 0.500)  0.00
V (0.875, 0.875, 0.500)  0.75

=====

6.
BaIrN2F | GGA-PBE | optimized geometry

Values from the calculation:
D(E_F)   2.03 states/eV/f.u.
Polymorph energy (0 for the lowest one)   0.000 eV per atom

Cell lengths 3.805, 3.805, 5.799 Å; angles 90.00, 90.00, 90.00 degrees
Fractional positions:
N (0.500, 0.000, 0.000)
N (0.000, 0.500, 0.000)
F (0.000, 0.000, 0.500)
Ba (0.500, 0.500, 0.500)
Ir (0.000, 0.000, 0.000)